(1)
{
  "formula": "K2ReNi",
  "functional": "PBE",
  "state": "relaxed",
  "lattice_angstrom": [[-4.493, -9.030, -5.346], [-4.948, -9.934, -2.671], [-6.856, -8.229, -3.948]],
  "species": ["K", "K", "Ni", "Re"],
  "frac_coords": [[0.996, 0.996, 0.996], [0.504, 0.504, 0.504], [0.250, 0.250, 0.250], [0.750, 0.750, 0.750]],
  "formation_energy_kj_per_mol_atoms": 122.4
}

(2)
{
  "formula": "LaCuN3",
  "functional": "PBE",
  "state": "relaxed",
  "lattice_angstrom": [[3.876, 0.000, 0.000], [0.000, 3.876, 0.000], [0.000, 0.000, 3.876]],
  "species": ["N", "N", "N", "Cu", "La"],
  "frac_coords": [[0.000, 0.500, 0.000], [0.000, 0.000, 0.500], [0.500, 0.000, 0.000], [0.000, 0.000, 0.000], [0.500, 0.500, 0.500]],
  "e_form_raw_ev_per_atom": 0.44
}

(3)
{
  "formula": "Ca2MgZn2Ni5",
  "functional": "PBE",
  "state": "relaxed",
  "lattice_angstrom": [[-3.293, 1.574, -0.013], [-3.957, -8.295, -1.718], [-0.771, -1.536, 9.190]],
  "species": ["Ca", "Ca", "Ca", "Ca", "Mg", "Mg", "Zn", "Zn", "Zn", "Zn", "Ni", "Ni", "Ni", "Ni", "Ni", "Ni", "Ni", "Ni", "Ni", "Ni"],
  "frac_coords": [[0.000, 0.679, 0.179], [0.000, 0.321, 0.821], [0.000, 0.179, 0.321], [0.000, 0.821, 0.679], [0.000, 0.000, 0.000], [0.000, 0.500, 0.500], [0.000, 0.118, 0.618], [0.000, 0.882, 0.382], [0.000, 0.618, 0.882], [0.000, 0.382, 0.118], [0.500, 0.212, 0.062], [0.500, 0.788, 0.938], [0.500, 0.062, 0.788], [0.500, 0.712, 0.438], [0.500, 0.938, 0.212], [0.500, 0.288, 0.562], [0.500, 0.562, 0.712], [0.500, 0.438, 0.288], [0.500, 0.500, 0.000], [0.500, 0.000, 0.500]],
  "formation_energy_kj_per_mol_atoms": -9.4
}

(4)
{
  "formula": "MgTePb2",
  "functional": "PBE",
  "state": "relaxed",
  "lattice_angstrom": [[6.273, -0.008, -0.004], [2.522, 5.744, 0.004], [-3.764, -3.840, 3.231]],
  "species": ["Mg", "Pb", "Pb", "Te"],
  "frac_coords": [[0.267, 0.767, 0.500], [0.022, 0.022, 0.000], [0.740, 0.240, 0.500], [0.471, 0.471, 0.000]],
  "e_form_raw_ev_per_atom": -0.11
}

(5)
{
  "formula": "Er2Zn7Cu",
  "functional": "PBE",
  "state": "relaxed",
  "lattice_angstrom": [[-1.188, -3.737, 0.938], [3.004, -0.284, 2.674], [-6.522, 4.020, 7.754]],
  "species": ["Er", "Er", "Zn", "Zn", "Zn", "Zn", "Zn", "Zn", "Zn", "Cu"],
  "frac_coords": [[0.500, 0.000, 0.753], [0.000, 0.500, 0.247], [0.000, 0.500, 0.864], [0.500, 0.000, 0.359], [0.500, 0.000, 0.136], [0.000, 0.500, 0.641], [0.000, 0.000, 0.500], [0.000, 0.000, 0.000], [0.500, 0.500, 0.500], [0.500, 0.500, 0.000]],
  "formation_energy_kj_per_mol_atoms": -25.7
}